(1)
# PBE-GGA SiSb2Pt, optimized geometry
data_SiSb2Pt
_chemical_formula_sum 'Si1 Sb2 Pt1'
_symmetry_space_group_name_H-M 'P 1'
_symmetry_Int_Tables_number 1
_symmetry_space_group_name_Hall 'P 1'
_cell_length_a 5.886
_cell_length_b 5.886
_cell_length_c 5.886
_cell_angle_alpha 139.73
_cell_angle_beta 139.73
_cell_angle_gamma 58.26
loop_
_atom_site_label
_atom_site_type_symbol
_atom_site_fract_x
_atom_site_fract_y
_atom_site_fract_z
Si1 Si 0.500 0.500 0.000
Pt1 Pt 0.750 0.250 0.500
Sb1 Sb 0.250 0.750 0.500
Sb2 Sb 0.000 0.000 0.000
# Uncorrected formation energy (eV per formula unit): 1.20
# N(E_F) (states/eV per cell): 2.49
# Uncorrected energy (eV/atom): -4.63



(2)
# PBE-GGA VCuRh2, optimized geometry
data_VCuRh2
_chemical_formula_sum 'V2 Cu2 Rh4'
_symmetry_space_group_name_H-M 'P 1'
_symmetry_Int_Tables_number 1
_symmetry_space_group_name_Hall 'P 1'
_cell_length_a 4.271
_cell_length_b 4.430
_cell_length_c 5.652
_cell_angle_alpha 90.00
_cell_angle_beta 90.00
_cell_angle_gamma 90.00
loop_
_atom_site_label
_atom_site_type_symbol
_atom_site_fract_x
_atom_site_fract_y
_atom_site_fract_z
Rh1 Rh 0.500 0.202 0.248
Rh2 Rh 0.000 0.798 0.252
Rh3 Rh 0.000 0.798 0.748
Rh4 Rh 0.500 0.202 0.752
Cu1 Cu 0.000 0.307 0.000
Cu2 Cu 0.500 0.693 0.500
V1 V 0.500 0.689 0.000
V2 V 0.000 0.311 0.500
# N(E_F) (states/eV per cell): 3.98
# Uncorrected energy (eV/atom): -7.27



(3)
# PBE-GGA Pr3PbSe3, optimized geometry
data_Pr3PbSe3
_chemical_formula_sum 'Pr6 Pb2 Se6'
_symmetry_space_group_name_H-M 'P 1'
_symmetry_Int_Tables_number 1
_symmetry_space_group_name_Hall 'P 1'
_cell_length_a 5.931
_cell_length_b 8.695
_cell_length_c 8.698
_cell_angle_alpha 85.30
_cell_angle_beta 90.00
_cell_angle_gamma 90.00
loop_
_atom_site_label
_atom_site_type_symbol
_atom_site_fract_x
_atom_site_fract_y
_atom_site_fract_z
Se1 Se 0.750 0.107 0.365
Se2 Se 0.250 0.876 0.124
Se3 Se 0.250 0.365 0.107
Se4 Se 0.750 0.635 0.893
Se5 Se 0.250 0.893 0.635
Se6 Se 0.750 0.124 0.876
Pr1 Pr 0.250 0.640 0.884
Pr2 Pr 0.250 0.117 0.361
Pr3 Pr 0.250 0.139 0.861
Pr4 Pr 0.750 0.883 0.639
Pr5 Pr 0.750 0.360 0.116
Pr6 Pr 0.750 0.861 0.139
Pb1 Pb 0.250 0.428 0.572
Pb2 Pb 0.750 0.572 0.428
# Uncorrected formation energy (eV per formula unit): -10.09
# N(E_F) (states/eV per cell): 5.76
# Uncorrected energy (eV/atom): -5.51



(4)
# PBE-GGA MgTaAu, optimized geometry
data_MgTaAu
_chemical_formula_sum 'Mg2 Ta2 Au2'
_symmetry_space_group_name_H-M 'P 1'
_symmetry_Int_Tables_number 1
_symmetry_space_group_name_Hall 'P 1'
_cell_length_a 5.023
_cell_length_b 3.105
_cell_length_c 7.324
_cell_angle_alpha 77.84
_cell_angle_beta 94.97
_cell_angle_gamma 89.97
loop_
_atom_site_label
_atom_site_type_symbol
_atom_site_fract_x
_atom_site_fract_y
_atom_site_fract_z
Ta1 Ta 0.103 0.782 0.488
Ta2 Ta 0.143 0.120 0.809
Mg1 Mg 0.642 0.619 0.812
Mg2 Mg 0.558 0.936 0.175
Au1 Au 0.604 0.274 0.500
Au2 Au 0.046 0.457 0.136
# Energy relative to the lowest polymorph listed for this composition (meV/atom): 152
# N(E_F) (states/eV per cell): 3.47
# Uncorrected energy (eV/atom): -5.62



(5)
# PBE-GGA Ca2HoNpP4, optimized geometry
data_Ca2HoNpP4
_chemical_formula_sum 'Ca2 Ho1 Np1 P4'
_symmetry_space_group_name_H-M 'P 1'
_symmetry_Int_Tables_number 1
_symmetry_space_group_name_Hall 'P 1'
_cell_length_a 4.057
_cell_length_b 6.961
_cell_length_c 7.025
_cell_angle_alpha 109.16
_cell_angle_beta 90.00
_cell_angle_gamma 90.00
loop_
_atom_site_label
_atom_site_type_symbol
_atom_site_fract_x
_atom_site_fract_y
_atom_site_fract_z
Np1 Np 0.000 0.000 0.000
P1 P 0.500 0.766 0.775
P2 P 0.000 0.245 0.772
P3 P 0.500 0.234 0.225
P4 P 0.000 0.755 0.228
Ho1 Ho 0.500 0.500 0.000
Ca1 Ca 0.000 0.500 0.500
Ca2 Ca 0.500 0.000 0.500
# N(E_F) (states/eV per cell): 6.01
# Uncorrected energy (eV/atom): -6.54



(6)
# PBE-GGA K2SiPbF8, optimized geometry
data_K2SiPbF8
_chemical_formula_sum 'K2 Si1 Pb1 F8'
_symmetry_space_group_name_H-M 'P 1'
_symmetry_Int_Tables_number 1
_symmetry_space_group_name_Hall 'P 1'
_cell_length_a 4.622
_cell_length_b 5.919
_cell_length_c 7.421
_cell_angle_alpha 90.00
_cell_angle_beta 90.00
_cell_angle_gamma 93.88
loop_
_atom_site_label
_atom_site_type_symbol
_atom_site_fract_x
_atom_site_fract_y
_atom_site_fract_z
Pb1 Pb 0.000 0.000 0.500
F1 F 0.130 0.829 0.169
F2 F 0.870 0.171 0.831
F3 F 0.566 0.761 0.500
F4 F 0.308 0.170 0.000
F5 F 0.130 0.830 0.831
F6 F 0.870 0.170 0.169
F7 F 0.692 0.830 0.000
F8 F 0.434 0.239 0.500
K1 K 0.500 0.500 0.772
K2 K 0.500 0.500 0.228
Si1 Si 0.000 0.000 0.000
# Uncorrected formation energy (eV per formula unit): -34.26
# N(E_F) (states/eV per cell): 0.00
# Uncorrected energy (eV/atom): -5.05



(7)
# PBE-GGA ZnHPdRh2, optimized geometry
data_ZnHPdRh2
_chemical_formula_sum 'Zn1 H1 Pd1 Rh2'
_symmetry_space_group_name_H-M 'P 1'
_symmetry_Int_Tables_number 1
_symmetry_space_group_name_Hall 'P 1'
_cell_length_a 3.921
_cell_length_b 3.921
_cell_length_c 3.924
_cell_angle_alpha 90.00
_cell_angle_beta 90.00
_cell_angle_gamma 90.00
loop_
_atom_site_label
_atom_site_type_symbol
_atom_site_fract_x
_atom_site_fract_y
_atom_site_fract_z
Rh1 Rh 0.000 0.500 0.000
Rh2 Rh 0.500 0.000 0.000
Zn1 Zn 0.500 0.500 0.500
H1 H 0.000 0.000 0.000
Pd1 Pd 0.000 0.000 0.500
# Energy relative to the lowest polymorph listed for this composition (meV/atom): 0
# N(E_F) (states/eV per cell): 3.88
# Uncorrected energy (eV/atom): -5.05



(8)
# PBE-GGA Cs3Cu2GeBr6, optimized geometry
data_Cs3Cu2GeBr6
_chemical_formula_sum 'Cs3 Cu2 Ge1 Br6'
_symmetry_space_group_name_H-M 'P 1'
_symmetry_Int_Tables_number 1
_symmetry_space_group_name_Hall 'P 1'
_cell_length_a 8.203
_cell_length_b 8.203
_cell_length_c 8.976
_cell_angle_alpha 90.00
_cell_angle_beta 90.00
_cell_angle_gamma 120.00
loop_
_atom_site_label
_atom_site_type_symbol
_atom_site_fract_x
_atom_site_fract_y
_atom_site_fract_z
Br1 Br 0.833 0.167 0.697
Br2 Br 0.167 0.333 0.303
Br3 Br 0.667 0.833 0.303
Br4 Br 0.333 0.167 0.697
Br5 Br 0.167 0.833 0.303
Br6 Br 0.833 0.667 0.697
Cu1 Cu 0.333 0.667 0.269
Cu2 Cu 0.667 0.333 0.731
Cs1 Cs 0.000 0.000 0.000
Cs2 Cs 0.333 0.667 0.661
Cs3 Cs 0.667 0.333 0.339
Ge1 Ge 0.000 0.000 0.500
# Uncorrected formation energy (eV per formula unit): -10.62
# N(E_F) (states/eV per cell): 3.36
# Uncorrected energy (eV/atom): -3.00